[1]
BaSr2Al2 | PBEsol | relaxed

As for the total energy: -2.80 eV/atom. The calculation puts the offset from the most stable computed form at 64.3 meV per atom. For the formation enthalpy at 0 K, the calculation gives 2 meV/atom. The crystal system is tetragonal.

The structure belongs to space group I4/mmm (No. 139); the cell edges are 5.296, 5.296 and 13.464 Å and the angles 90.00°, 90.00° and 90.00°. The inequivalent atoms are Ba at (0.000, 0.000, 0.000), Sr at (0.000, 0.500, 0.250) and Al at (0.000, 0.000, 0.406).

***

[2]
BaSr2Al | PBEsol | relaxed

As for the total energy: -2.49 eV/atom. For the formation enthalpy at 0 K, the calculation gives -10 meV/atom. The crystal system is orthorhombic.

The structure belongs to space group Immm (No. 71); the cell edges are 4.090, 6.214 and 13.252 Å and the angles 90.00°, 90.00° and 90.00°. The inequivalent atoms are Ba at (0.000, 0.000, 0.000), Sr at (0.000, 0.500, 0.196) and Al at (0.000, 0.000, 0.500).

***

[3]
BaSr2Al | PBEsol | relaxed

As for the total energy: -2.42 eV/atom. For the formation enthalpy at 0 K, the calculation gives 61 meV/atom. The crystal system is tetragonal.

The structure belongs to space group P4/mmm (No. 123); the cell edges are 5.323, 5.323 and 5.446 Å and the angles 90.00°, 90.00° and 90.00°. The inequivalent atoms are Ba at (0.000, 0.000, 0.000), Sr at (0.000, 0.500, 0.500) and Al at (0.500, 0.500, 0.000).

***

[4]
BaSr2Al | PBEsol | relaxed

As for the total energy: -2.52 eV/atom. For the formation enthalpy at 0 K, the calculation gives -42 meV/atom. The crystal system is tetragonal.

The structure belongs to space group P4mm (No. 99); the cell edges are 4.069, 4.069 and 10.221 Å and the angles 90.00°, 90.00° and 90.00°. The inequivalent atoms are Ba at (0.000, 0.000, 0.000), Sr at (0.000, 0.000, 0.368), Sr at (0.500, 0.500, 0.671) and Al at (0.500, 0.500, 0.197).

***

[5]
BaSr2Al2 | PBEsol | relaxed

As for the total energy: -2.86 eV/atom. The calculation puts the offset from the most stable computed form at 0.0 meV per atom. For the formation enthalpy at 0 K, the calculation gives -62 meV/atom. The crystal system is tetragonal.

The structure belongs to space group P4/mbm (No. 127); the cell edges are 8.538, 8.538 and 4.987 Å and the angles 90.00°, 90.00° and 90.00°. The inequivalent atoms are Ba at (0.000, 0.000, 0.000), Sr at (0.170, 0.330, 0.500) and Al at (0.108, 0.608, 0.000).

***

[6]
BaTaAl3 | PBEsol | relaxed

As for the total energy: -3.01 eV/atom. The calculation puts the offset from the most stable computed form at 2185.6 meV per atom. For the formation enthalpy at 0 K, the calculation gives 2387 meV/atom. The crystal system is cubic.

The structure belongs to space group Pm-3m (No. 221); the cell edges are 5.278, 5.278 and 5.278 Å and the angles 90.00°, 90.00° and 90.00°. The inequivalent atoms are Ba at (0.000, 0.000, 0.000), Ta at (0.500, 0.500, 0.500) and Al at (0.000, 0.000, 0.500).

***

[7]
BaTaAl2 | PBEsol | relaxed

As for the total energy: -5.38 eV/atom. The calculation puts the offset from the most stable computed form at 275.9 meV per atom. For the formation enthalpy at 0 K, the calculation gives 343 meV/atom. The crystal system is tetragonal.

The structure belongs to space group P4mm (No. 99); the cell edges are 3.154, 3.154 and 8.848 Å and the angles 90.00°, 90.00° and 90.00°. The inequivalent atoms are Ba at (0.000, 0.000, 0.000), Ta at (0.500, 0.500, 0.335), Al at (0.000, 0.000, 0.519) and Al at (0.500, 0.500, 0.701).

***

[8]
BaTaAl3 | PBEsol | relaxed

As for the total energy: -5.19 eV/atom. The calculation puts the offset from the most stable computed form at 0.0 meV per atom. For the formation enthalpy at 0 K, the calculation gives 202 meV/atom. The crystal system is cubic.

The structure belongs to space group Pm-3m (No. 221); the cell edges are 5.120, 5.120 and 5.120 Å and the angles 90.00°, 90.00° and 90.00°. The inequivalent atoms are Ba at (0.000, 0.000, 0.000), Ta at (0.500, 0.500, 0.500) and Al at (0.000, 0.500, 0.500).

***

[9]
BaTaAl2 | PBEsol | relaxed

As for the total energy: -5.65 eV/atom. The calculation puts the offset from the most stable computed form at 0.0 meV per atom. For the formation enthalpy at 0 K, the calculation gives 67 meV/atom. The crystal system is orthorhombic.

The structure belongs to space group Pmmm (No. 47); the cell edges are 3.045, 3.990 and 7.427 Å and the angles 90.00°, 90.00° and 90.00°. The inequivalent atoms are Ba at (0.000, 0.000, 0.000), Ta at (0.000, 0.000, 0.500) and Al at (0.500, 0.500, 0.323).

***

[10]
Ba2TaAl | PBEsol | relaxed

As for the total energy: -4.40 eV/atom. For the formation enthalpy at 0 K, the calculation gives 838 meV/atom. The crystal system is tetragonal.

The structure belongs to space group P4/mmm (No. 123); the cell edges are 4.576, 4.576 and 5.277 Å and the angles 90.00°, 90.00° and 90.00°. The inequivalent atoms are Ba at (0.000, 0.500, 0.000), Ta at (0.000, 0.000, 0.500) and Al at (0.500, 0.500, 0.500).

***

[11]
BaAl2Tc | PBEsol | relaxed

As for the total energy: -5.48 eV/atom. The calculation puts the offset from the most stable computed form at 0.0 meV per atom. For the formation enthalpy at 0 K, the calculation gives -76 meV/atom. The crystal system is tetragonal.

The structure belongs to space group P4/mmm (No. 123); the cell edges are 3.207, 3.207 and 7.977 Å and the angles 90.00°, 90.00° and 90.00°. The inequivalent atoms are Ba at (0.000, 0.000, 0.000), Al at (0.500, 0.500, 0.336) and Tc at (0.000, 0.000, 0.500).

***

[12]
BaAl2Tc | PBEsol | relaxed

As for the total energy: -5.35 eV/atom. The calculation puts the offset from the most stable computed form at 125.6 meV per atom. For the formation enthalpy at 0 K, the calculation gives 50 meV/atom. The crystal system is monoclinic.

The structure belongs to space group Cm (No. 8); the cell edges are 7.622, 4.393 and 6.446 Å and the angles 90.00°, 113.25° and 90.00°. The inequivalent atoms are Ba at (0.000, 0.000, 0.000), Al at (0.017, 0.500, 0.548), Al at (0.315, 0.500, 0.444) and Tc at (0.189, 0.000, 0.566).